VASP calculation (GGA-PBE) on a geometry-optimized Ca2Zn2Rh5Pb structure.

Formation enthalpy at 0 K: -3.436 eV per formula unit
Space group: No. 127

Lattice parameters (Å, degrees): 3.782 9.674 9.674 90.00 90.00 90.00
Element x y z (fractional)
Ca: 0.000 0.676 0.176
Ca: 0.000 0.324 0.824
Ca: 0.000 0.176 0.324
Ca: 0.000 0.824 0.676
Zn: 0.000 0.122 0.622
Zn: 0.000 0.878 0.378
Zn: 0.000 0.622 0.878
Zn: 0.000 0.378 0.122
Rh: 0.500 0.210 0.065
Rh: 0.500 0.790 0.935
Rh: 0.500 0.065 0.790
Rh: 0.500 0.710 0.435
Rh: 0.500 0.935 0.210
Rh: 0.500 0.290 0.565
Rh: 0.500 0.565 0.710
Rh: 0.500 0.435 0.290
Rh: 0.500 0.500 0.000
Rh: 0.500 0.000 0.500
Pb: 0.000 0.000 0.000
Pb: 0.000 0.500 0.500

VASP calculation (GGA-PBE) on a geometry-optimized PmZnCu4 structure.

Formation enthalpy at 0 K: -1.163 eV per formula unit
Space group: No. 216

Lattice parameters (Å, degrees): 5.084 5.084 5.084 60.00 60.00 60.00
Element x y z (fractional)
Zn: 0.000 0.000 0.000
Cu: 0.627 0.627 0.120
Cu: 0.627 0.120 0.627
Cu: 0.627 0.627 0.627
Cu: 0.120 0.627 0.627
Pm: 0.250 0.250 0.250

VASP calculation (GGA-PBE) on a geometry-optimized TaSiSnO2 structure.

Formation energy from raw total energies: 160.9 meV/atom
Space group: No. 123

Lattice parameters (Å, degrees): 3.813 7.012 3.813 90.00 90.00 90.00
Element x y z (fractional)
Si: 0.500 0.500 0.500
Sn: 0.000 0.000 0.000
O: 0.000 0.000 0.500
O: 0.500 0.000 0.000
Ta: 0.000 0.500 0.000

VASP calculation (GGA-PBE) on a geometry-optimized Re4IrRu structure.

Formation enthalpy at 0 K: 2.677 eV per formula unit
Space group: No. 216

Lattice parameters (Å, degrees): 5.103 5.103 5.103 60.00 60.00 60.00
Element x y z (fractional)
Re: 0.875 0.375 0.375
Re: 0.375 0.375 0.875
Re: 0.375 0.875 0.375
Re: 0.375 0.375 0.375
Ir: 0.000 0.000 0.000
Ru: 0.750 0.750 0.750

VASP calculation (GGA-PBE) on a geometry-optimized MgRh2AuN structure.

Formation energy from raw total energies: 1325.0 meV/atom
Space group: No. 123

Lattice parameters (Å, degrees): 4.750 3.697 4.750 90.00 90.00 90.00
Element x y z (fractional)
Rh: 0.000 0.000 0.500
Rh: 0.500 0.000 0.000
Mg: 0.000 0.000 0.000
Au: 0.500 0.500 0.500
N: 0.000 0.500 0.000

VASP calculation (GGA-PBE) on a geometry-optimized KRuSI2 structure.

Formation energy from raw total energies: -443.7 meV/atom
Space group: No. 123

Lattice parameters (Å, degrees): 5.829 4.393 5.829 90.00 90.00 90.00
Element x y z (fractional)
I: 0.000 0.000 0.500
I: 0.500 0.000 0.000
Ru: 0.000 0.000 0.000
K: 0.500 0.500 0.500
S: 0.000 0.500 0.000

VASP calculation (GGA-PBE) on a geometry-optimized PaCuNi3 structure.

Formation enthalpy at 0 K: -0.036 eV per formula unit
Space group: No. 194

Lattice parameters (Å, degrees): 5.319 5.319 12.734 90.00 90.00 120.00
Element x y z (fractional)
Pa: 0.333 0.667 0.250
Pa: 0.667 0.333 0.750
Pa: 0.000 0.000 0.500
Pa: 0.000 0.000 0.000
Cu: 0.667 0.333 0.136
Cu: 0.333 0.667 0.636
Cu: 0.333 0.667 0.864
Cu: 0.667 0.333 0.364
Ni: 0.143 0.285 0.750
Ni: 0.285 0.143 0.250
Ni: 0.857 0.143 0.250
Ni: 0.143 0.857 0.750
Ni: 0.715 0.857 0.750
Ni: 0.857 0.715 0.250
Ni: 0.500 0.500 0.500
Ni: 0.500 0.000 0.000
Ni: 0.500 0.500 0.000
Ni: 0.500 0.000 0.500
Ni: 0.000 0.500 0.500
Ni: 0.000 0.500 0.000

VASP calculation (GGA-PBE) on a geometry-optimized Ga4O structure.

Formation energy from raw total energies: -135.2 meV/atom
Space group: No. 221

Lattice parameters (Å, degrees): 4.462 4.462 4.462 90.00 90.00 90.00
Element x y z (fractional)
Ga: 0.000 0.000 0.000
Ga: 0.500 0.000 0.500
Ga: 0.000 0.500 0.500
Ga: 0.500 0.500 0.000
O: 0.500 0.500 0.500

VASP calculation (GGA-PBE) on a geometry-optimized Pu6GePt3 structure.

Formation enthalpy at 0 K: -4.970 eV per formula unit
Space group: No. 14

Lattice parameters (Å, degrees): 8.686 5.444 10.312 90.00 64.79 90.00
Element x y z (fractional)
Pu: 0.633 0.018 0.043
Pu: 0.686 0.317 0.701
Pu: 0.767 0.501 0.134
Pu: 0.233 0.499 0.866
Pu: 0.314 0.683 0.299
Pu: 0.367 0.982 0.957
Pu: 0.133 0.482 0.543
Pu: 0.186 0.183 0.201
Pu: 0.267 0.999 0.634
Pu: 0.733 0.001 0.366
Pu: 0.814 0.817 0.799
Pu: 0.867 0.518 0.457
Ge: 0.500 0.500 0.500
Ge: 0.000 0.000 0.000
Pt: 0.560 0.823 0.669
Pt: 0.500 0.500 0.000
Pt: 0.440 0.177 0.331
Pt: 0.060 0.677 0.169
Pt: 0.000 0.000 0.500
Pt: 0.940 0.323 0.831

VASP calculation (GGA-PBE) on a geometry-optimized BTe2AsPt structure.

Formation energy from raw total energies: 1372.7 meV/atom
Space group: No. 123

Lattice parameters (Å, degrees): 5.549 4.605 5.549 90.00 90.00 90.00
Element x y z (fractional)
As: 0.000 0.000 0.000
Te: 0.000 0.000 0.500
Te: 0.500 0.000 0.000
B: 0.500 0.500 0.500
Pt: 0.000 0.500 0.000

VASP calculation (GGA-PBE) on a geometry-optimized CaAuSe2Br structure.

Formation energy from raw total energies: -457.1 meV/atom
Space group: No. 123

Lattice parameters (Å, degrees): 5.172 5.172 5.210 90.00 90.00 90.00
Element x y z (fractional)
Ca: 0.500 0.500 0.500
Au: 0.000 0.000 0.000
Se: 0.000 0.500 0.000
Se: 0.500 0.000 0.000
Br: 0.000 0.000 0.500

VASP calculation (GGA-PBE) on a geometry-optimized ReOsI2O structure.

Formation energy from raw total energies: 1091.1 meV/atom
Space group: No. 123

Lattice parameters (Å, degrees): 5.586 5.586 3.702 90.00 90.00 90.00
Element x y z (fractional)
I: 0.000 0.500 0.000
I: 0.500 0.000 0.000
Re: 0.500 0.500 0.500
Os: 0.000 0.000 0.000
O: 0.000 0.000 0.500

no.,magnetization (μB per formula unit)
1,0.0
2,0.0
3,1.1
4,0.0
5,2.0
6,0.0
7,0.0
8,0.0
9,11.0
10,0.0
11,0.0
12,3.6